First-principles (PBEsol) data for crystalline Co2AgCl at its relaxed geometry, as listed in Alexandria via LeMat-Bulk.

Results
The density comes out at 7.75 g/cm³. The value obtained for the formation energy (no corrections) is 0.78 eV per atom. The magnetization comes out at 7.24 μB/cell.

Cell and atoms, written as CIF:
```
data_Co2AgCl
_space_group_name_H-M_alt 'I -4 m 2'
_space_group_IT_number 119
_space_group_name_Hall 'I -4 -2'
_cell_length_a 3.860
_cell_length_b 3.860
_cell_length_c 7.513
_cell_angle_alpha 90.00
_cell_angle_beta 90.00
_cell_angle_gamma 90.00
loop_
_atom_site_label
_atom_site_fract_x
_atom_site_fract_y
_atom_site_fract_z
Co1 0.000 0.000 0.000
Co2 0.000 0.500 0.250
Ag1 0.000 0.000 0.500
Cl1 0.000 0.500 0.750
```